No. 1
! Er3CuRh8 | the Alexandria database | GGA-PBE | optimized geometry; values from VASP
&SYSTEM
  ibrav = 0, nat = 12, ntyp = 3
/
ATOMIC_SPECIES
Rh 102.91 Rh.upf
Er 167.26 Er.upf
Cu 63.55 Cu.upf
CELL_PARAMETERS angstrom
5.045 0.000 1.496
2.300 4.490 1.496
0.033 0.020 9.141
ATOMIC_POSITIONS crystal
Rh 0.562 0.562 0.815
Rh 0.061 0.561 0.318
Rh 0.061 0.562 0.815
Rh 0.562 0.061 0.815
Rh 0.061 0.061 0.318
Rh 0.561 0.061 0.318
Rh 0.811 0.811 0.567
Rh 0.311 0.311 0.066
Er 0.493 0.493 0.521
Er 0.623 0.623 0.130
Er 0.009 0.009 0.972
Cu 0.134 0.134 0.597
! Calculated formation energy: -625.6 kJ/mol of formula units
! ρ: 11154 kg/m³

=====

No. 2
! Er2CuRh | the Alexandria database | GGA-PBE | optimized geometry; values from VASP
&SYSTEM
  ibrav = 0, nat = 4, ntyp = 3
/
ATOMIC_SPECIES
Er 167.26 Er.upf
Rh 102.91 Rh.upf
Cu 63.55 Cu.upf
CELL_PARAMETERS angstrom
-0.225 1.260 3.210
-4.573 -1.470 0.257
1.459 -4.231 1.763
ATOMIC_POSITIONS crystal
Er 0.000 0.500 0.000
Er 0.000 0.000 0.500
Rh 0.500 0.500 0.500
Cu 0.500 0.000 0.000
! Calculated formation energy: -231.7 kJ/mol of formula units
! ρ: 10404 kg/m³

=====

No. 3
! Er8Cu2Rh | the Alexandria database | GGA-PBE | optimized geometry; values from VASP
&SYSTEM
  ibrav = 0, nat = 11, ntyp = 3
/
ATOMIC_SPECIES
Er 167.26 Er.upf
Rh 102.91 Rh.upf
Cu 63.55 Cu.upf
CELL_PARAMETERS angstrom
5.050 0.000 0.000
0.000 6.604 0.162
-2.525 -2.642 8.120
ATOMIC_POSITIONS crystal
Er 0.333 0.022 0.667
Er 0.800 0.676 0.601
Er 0.591 0.444 0.181
Er 0.968 0.211 0.935
Er 0.667 0.978 0.333
Er 0.032 0.789 0.065
Er 0.200 0.324 0.399
Er 0.409 0.556 0.819
Rh 0.500 0.000 0.000
Cu 0.815 0.277 0.630
Cu 0.185 0.723 0.370
! Calculated formation energy: -281.6 kJ/mol of formula units
! ρ: 9538 kg/m³

=====

No. 4
! Er2Cu15Rh2 | the Alexandria database | GGA-PBE | optimized geometry; values from VASP
&SYSTEM
  ibrav = 0, nat = 19, ntyp = 3
/
ATOMIC_SPECIES
Er 167.26 Er.upf
Cu 63.55 Cu.upf
Rh 102.91 Rh.upf
CELL_PARAMETERS angstrom
6.459 -0.045 -0.040
0.793 6.410 -0.040
0.793 0.696 6.372
ATOMIC_POSITIONS crystal
Er 0.332 0.332 0.332
Er 0.668 0.668 0.668
Cu 0.705 0.000 0.295
Cu 0.000 0.295 0.705
Cu 0.000 0.705 0.295
Cu 0.295 0.705 0.000
Cu 0.647 0.154 0.647
Cu 0.500 0.000 0.000
Cu 0.647 0.647 0.154
Cu 0.154 0.647 0.647
Cu 0.353 0.353 0.846
Cu 0.705 0.295 0.000
Cu 0.000 0.000 0.500
Cu 0.000 0.500 0.000
Cu 0.295 0.000 0.705
Cu 0.353 0.846 0.353
Cu 0.846 0.353 0.353
Rh 0.894 0.894 0.894
Rh 0.106 0.106 0.106
! Calculated formation energy: -291.0 kJ/mol of formula units
! ρ: 9380 kg/m³

=====

No. 5
! Er2Cu2Rh | the Alexandria database | GGA-PBE | optimized geometry; values from VASP
&SYSTEM
  ibrav = 0, nat = 5, ntyp = 3
/
ATOMIC_SPECIES
Cu 63.55 Cu.upf
Rh 102.91 Rh.upf
Er 167.26 Er.upf
CELL_PARAMETERS angstrom
-2.940 -4.219 3.685
-3.165 -3.992 -1.680
0.218 -5.335 -0.517
ATOMIC_POSITIONS crystal
Cu 0.697 0.500 0.500
Cu 0.303 0.500 0.500
Rh 0.000 0.000 0.000
Er 0.732 0.768 0.768
Er 0.268 0.232 0.232
! Calculated formation energy: -236.9 kJ/mol of formula units
! ρ: 9954 kg/m³

=====

No. 6
! Er4CuRh3 | the Alexandria database | GGA-PBE | optimized geometry; values from VASP
&SYSTEM
  ibrav = 0, nat = 8, ntyp = 3
/
ATOMIC_SPECIES
Rh 102.91 Rh.upf
Er 167.26 Er.upf
Cu 63.55 Cu.upf
CELL_PARAMETERS angstrom
3.375 0.000 0.000
0.000 4.839 0.000
0.000 0.000 9.707
ATOMIC_POSITIONS crystal
Rh 0.500 0.500 0.500
Rh 0.500 0.000 0.748
Rh 0.500 0.000 0.252
Er 0.000 0.000 0.500
Er 0.000 0.500 0.747
Er 0.000 0.500 0.253
Er 0.000 0.000 0.000
Cu 0.500 0.500 0.000
! Calculated formation energy: -594.2 kJ/mol of formula units
! ρ: 10909 kg/m³

=====

No. 7
! Er8Cu2Rh | the Alexandria database | GGA-PBE | optimized geometry; values from VASP
&SYSTEM
  ibrav = 0, nat = 11, ntyp = 3
/
ATOMIC_SPECIES
Er 167.26 Er.upf
Cu 63.55 Cu.upf
Rh 102.91 Rh.upf
CELL_PARAMETERS angstrom
5.696 -0.027 -1.013
-2.004 6.750 -3.103
-0.120 -0.366 7.684
ATOMIC_POSITIONS crystal
Er 0.989 0.207 0.799
Er 0.370 0.911 0.661
Er 0.370 0.661 0.911
Er 0.180 0.367 0.367
Er 0.593 0.092 0.342
Er 0.593 0.342 0.092
Er 0.802 0.640 0.640
Er 0.989 0.799 0.207
Cu 0.493 0.308 0.703
Cu 0.493 0.703 0.308
Rh 0.129 0.004 0.004
! Calculated formation energy: -157.9 kJ/mol of formula units
! ρ: 9073 kg/m³

=====

No. 8
! Er3CuRh2 | the Alexandria database | GGA-PBE | optimized geometry; values from VASP
&SYSTEM
  ibrav = 0, nat = 12, ntyp = 3
/
ATOMIC_SPECIES
Er 167.26 Er.upf
Rh 102.91 Rh.upf
Cu 63.55 Cu.upf
CELL_PARAMETERS angstrom
4.828 0.000 0.000
-2.414 4.181 0.000
0.000 0.000 11.818
ATOMIC_POSITIONS crystal
Er 0.000 0.000 0.753
Er 0.333 0.667 0.919
Er 0.000 0.000 0.247
Er 0.333 0.667 0.416
Er 0.667 0.333 0.584
Er 0.667 0.333 0.081
Rh 0.667 0.333 0.833
Rh 0.000 0.000 0.000
Rh 0.333 0.667 0.167
Rh 0.000 0.000 0.500
Cu 0.333 0.667 0.668
Cu 0.667 0.333 0.332
! Calculated formation energy: -418.3 kJ/mol of formula units
! ρ: 10734 kg/m³